Below is a relaxed AcPrAu crystal, with properties calculated at the GGA-PBE level. Values from VASP.

Properties
The value obtained for the volume is 32.8 A^3/atom. The theoretical density is 9.5 Mg/m³. As for the excess energy over the best structure of this formula in the dataset: 0.054 eV/f.u. For the energy, the calculation gives -27.330 eV per cell. As for the space group: No. 129. The magnetization comes out at 0.0 μB/f.u. The calculation puts the formation energy at -0.500 eV/atom.

Quantum ESPRESSO input file:
```
&SYSTEM
  ibrav = 0, nat = 6, ntyp = 3
/
ATOMIC_SPECIES
Pr 140.91 Pr.upf
Au 196.97 Au.upf
Ac 227.00 Ac.upf
ATOMIC_POSITIONS crystal
Pr 0.814 0.366 0.920
Pr 0.314 0.866 0.920
Au 0.814 0.866 0.164
Au 0.314 0.366 0.675
Ac 0.314 0.366 0.294
Ac 0.814 0.866 0.545
CELL_PARAMETERS angstrom
4.938 -0.238 -0.018
0.238 4.938 -0.019
0.031 0.029 8.061
```